Entry from Alexandria via LeMat-Bulk: a relaxed TiCdTc2Ir crystal (PBE).

POSCAR file:
```
TiCdTc2Ir
1.0
-3.2881 1.8311 2.8208
2.8265 -0.9861 3.9349
2.0199 4.2295 -0.3910
Ir Ti Tc Cd
1 1 2 1
Cartesian
0.0000 0.0000 0.0000 Ir
0.7792 2.5372 3.1823 Ti
1.0099 2.1147 -0.1955 Tc
-1.6440 0.9155 1.4104 Tc
1.4133 -0.4930 1.9674 Cd
```

Results
DOS(E_F): 6.84 states/eV/f.u.
E: -6.2793 eV/atom
Formation energy: 1.40 eV/atom

---

Entry from Alexandria via LeMat-Bulk: a relaxed ErSc2Ta3N6 crystal (PBE).

POSCAR file:
```
ErSc2Ta3N6
1.0
5.4895 -0.0052 0.0030
-2.7479 4.7522 0.0030
-0.9114 -1.5781 5.2409
Er Sc Ta N
1 2 3 6
Cartesian
0.0000 0.0000 0.0000 Er
-0.0058 3.1685 0.0030 Sc
2.7474 1.5785 0.0030 Sc
-1.7900 3.1467 2.6235 Ta
3.6201 0.0222 2.6235 Ta
0.9151 1.5844 2.6235 Ta
2.7599 1.5474 3.8783 N
1.8063 3.1275 1.3887 N
-0.9298 1.6214 1.3686 N
-0.0390 3.1639 3.8783 N
0.0239 0.0413 3.8582 N
1.8691 0.0050 1.3686 N
```

Results
Formation energy (no corrections): -1.48 eV per atom
DOS(E_F): 3.12 states/eV/f.u.
E: -10.0460 eV/atom

---

Entry from Alexandria via LeMat-Bulk: a relaxed SrAu2O crystal (PBE).

POSCAR file:
```
SrAu2O
1.0
3.7303 0.0000 0.0000
0.0000 3.7303 0.0000
1.8651 1.8651 12.4879
Sr Au O
2 4 2
Cartesian
0.0000 0.0000 0.0000 Sr
3.7303 1.8651 6.2439 Sr
2.7926 0.9326 3.1220 Au
0.9377 2.7977 3.1220 Au
2.7977 2.8028 9.3659 Au
4.6628 4.6578 9.3659 Au
1.8651 1.8651 0.0000 O
1.8651 3.7303 6.2439 O
```

Results
Formation energy (no corrections): -0.93 eV per atom
DOS(E_F): 0.93 states/eV/f.u.
E: -4.2249 eV/atom

---

Entry from Alexandria via LeMat-Bulk: a relaxed Pu2BeSi3Ir4 crystal (PBE).

POSCAR file:
```
Pu2BeSi3Ir4
1.0
-0.3577 -1.0373 -3.9336
3.5399 -2.0252 0.2121
-4.8962 -8.2828 2.6295
Pu Be Si Ir
2 1 3 4
Cartesian
-1.4551 -2.6777 -1.2814 Pu
-1.8499 -7.1363 2.0501 Pu
-0.8570 -5.6726 -0.5460 Be
-2.4481 -4.1414 1.3147 Si
-4.4364 -7.7212 0.3197 Si
1.1314 -2.0928 0.4490 Si
1.5911 -1.5312 -1.8607 Ir
0.0000 0.0000 0.0000 Ir
-3.2502 -5.7144 -0.3173 Ir
-0.0548 -4.0996 1.0861 Ir
```

Results
Formation energy (no corrections): -0.78 eV per atom
DOS(E_F): 26.79 states/eV/f.u.
E: -9.1922 eV/atom

---

Entry from Alexandria via LeMat-Bulk: a relaxed TaTeI2N crystal (PBE).

POSCAR file:
```
TaTeI2N
1.0
5.6489 0.0000 0.0000
0.0000 5.6489 0.0000
0.0000 0.0000 5.3592
I N Te Ta
2 1 1 1
Cartesian
0.0000 2.8244 0.0000 I
2.8244 0.0000 0.0000 I
2.8244 2.8244 2.6796 N
0.0000 0.0000 2.6796 Te
0.0000 0.0000 0.0000 Ta
```

Results
Formation energy (no corrections): 1.06 eV per atom
Energy above the most stable polymorph in this dataset: 770.3 meV per atom
DOS(E_F): 1.60 states/eV/f.u.
E: -4.2216 eV/atom

---

Entry from Alexandria via LeMat-Bulk: a relaxed AlPbCl2 crystal (PBE).

POSCAR file:
```
AlPbCl2
1.0
-1.4616 -0.1079 3.9997
0.7261 -4.7725 0.1366
4.4777 0.7287 1.6560
Pb Al Cl
1 1 2
Cartesian
-0.3677 -2.4402 2.0681 Pb
1.5080 0.3104 2.8278 Al
0.0000 0.0000 0.0000 Cl
2.6019 -2.0219 0.8963 Cl
```

Results
Formation energy (no corrections): -0.32 eV per atom
Energy above the most stable polymorph in this dataset: 268.5 meV per atom
DOS(E_F): 2.09 states/eV/f.u.
E: -3.1100 eV/atom

---

| no. | total moment (μB per formula unit) | calculated volume (Å³/cell) |
| --- | --- | --- |
| 1 | 0.00 | 109.4 |
| 2 | 0.00 | 136.7 |
| 3 | 0.00 | 173.8 |
| 4 | 10.50 | 166.3 |
| 5 | 2.88 | 171.0 |
| 6 | 0.00 | 99.4 |